Material: NpMn3Br2O6
Method: DFT, PBE+U
State: relaxed

Properties
Electronic total energy = -7.39 eV/atom
Density of states at the Fermi level = 1.15 states/eV/cell

Cell lengths 10.886, 6.345, 5.828 Å; angles 90.00, 104.64, 90.00 degrees
Space group C2/m (No. 12)
Symmetry-distinct sites (fractional):
Np 0.000 0.000 0.000 [2 per cell]
Mn 0.000 0.500 0.500 [2 per cell]
Mn 0.250 0.250 0.000 [4 per cell]
Br 0.202 0.500 0.342 [4 per cell]
O 0.067 0.236 0.818 [8 per cell]
O 0.206 0.000 0.151 [4 per cell]